1.
Here is a relaxed Li4MnC2 crystal from Alexandria via LeMat-Bulk. Energies are from PBE.

Output
SG = I4/mmm (139)
Total magnetic moment = 2.749 μB per cell
DFT formation energy = 0.98 eV/atom

a b c (Å): 4.6952 4.6952 6.7701
angles (deg): 69.71 69.71 90.00
Last column: nearest neighbours and their distance in Å.
Sites, in units of the cell vectors:
C (0.1466, 0.1466, 0.7067)  1 Mn 1.73
C (0.8534, 0.8534, 0.2933)  1 Mn 1.73
Li (0.3248, 0.3248, 0.3504)  1 C 2.10
Li (0.0000, 0.5000, 0.0000)  2 Mn 2.35
Li (0.5000, 0.0000, 0.0000)  2 Mn 2.35
Li (0.6752, 0.6752, 0.6496)  1 C 2.10
Mn (0.0000, 0.0000, 0.0000)  2 C 1.73


2.
Here is a relaxed Li2MnC crystal from Alexandria via LeMat-Bulk. Energies are from PBE.

Output
SG = I-42d (122)
Total magnetic moment = 6.017 μB per cell
DFT formation energy = 0.44 eV/atom

a b c (Å): 7.9726 7.9726 5.9469
angles (deg): 47.91 47.91 90.00
Last column: nearest neighbours and their distance in Å.
Sites, in units of the cell vectors:
Li (0.8750, 0.7237, 0.7500)  2 C 2.19
Li (0.4737, 0.1250, 0.2500)  2 C 2.19
Li (0.2763, 0.6250, 0.2500)  2 C 2.19
Li (0.3750, 0.5263, 0.7500)  2 C 2.19
Mn (0.0000, 0.0000, 0.0000)  2 C 1.89
Mn (0.7500, 0.2500, 0.5000)  2 C 1.89
C (0.5000, 0.5000, 0.0000)  2 Mn 1.89
C (0.2500, 0.7500, 0.5000)  2 Mn 1.89


3.
Here is a relaxed Li2MnC2 crystal from Alexandria via LeMat-Bulk. Energies are from PBE.

Output
SG = P4/mbm (127)
Total magnetic moment = 0.000 μB per cell
DFT formation energy = 1.22 eV/atom
E above lowest polymorph = 0.0 meV/atom

a b c (Å): 6.0196 6.0196 2.1684
angles (deg): 90.00 90.00 90.00
Last column: nearest neighbours and their distance in Å.
Sites, in units of the cell vectors:
C (0.8165, 0.3165, 0.5000)  6 Li 2.04-2.13, 2 C 2.17
C (0.3165, 0.1835, 0.5000)  6 Li 2.04-2.13, 2 C 2.17
C (0.1835, 0.6835, 0.5000)  6 Li 2.04-2.13, 2 C 2.17
C (0.6835, 0.8165, 0.5000)  6 Li 2.04-2.13, 2 C 2.17
Mn (0.5000, 0.5000, 0.0000)  2 Mn 2.17, 4 Li 2.43
Mn (0.0000, 0.0000, 0.0000)  2 Mn 2.17, 4 Li 2.43
Li (0.8866, 0.6134, 0.0000)  1 Li 1.93, 6 C 2.04-2.13
Li (0.3866, 0.8866, 0.0000)  1 Li 1.93, 6 C 2.04-2.13
Li (0.1134, 0.3866, 0.0000)  1 Li 1.93, 6 C 2.04-2.13
Li (0.6134, 0.1134, 0.0000)  1 Li 1.93, 6 C 2.04-2.13


Electronic total energy (eV per formula unit)
-28.401; -20.458; -25.365